No. 1
A geometry-optimized YbFePb structure, computed with GGA-PBE.

a b c (Å): 4.013 5.498 6.730
angles (deg): 98.34 107.35 90.03
Last column: magnetic moment on the atom in μB.
Fractional positions:
1 Pb 0.586 0.296 0.168  -0.04
2 Pb 0.421 0.700 0.836  -0.04
3 Yb 0.871 0.174 0.736  -0.10
4 Yb 0.136 0.822 0.267  -0.10
5 Fe 0.779 0.602 0.551  1.75
6 Fe 0.229 0.393 0.452  1.75

Output
Energy   -4.6258 eV per atom
D(E_F)   5.8 states/eV/cell



No. 2
A geometry-optimized Er4Tl2AgHg structure, computed with GGA-PBE.

a b c (Å): 5.245 5.245 9.102
angles (deg): 73.25 73.25 60.00
Fractional positions:
1 Tl 0.751 0.751 0.746
2 Tl 0.249 0.249 0.254
3 Ag 0.500 0.500 0.500
4 Er 0.624 0.624 0.128
5 Er 0.126 0.126 0.623
6 Er 0.874 0.874 0.377
7 Er 0.376 0.376 0.872
8 Hg 0.000 0.000 0.000

Output
Energy   -3.6278 eV per atom
D(E_F)   7.1 states/eV/cell



No. 3
A geometry-optimized CrCu2Ag structure, computed with GGA-PBE.

a b c (Å): 4.661 4.661 4.702
angles (deg): 78.77 78.77 35.65
Last column: magnetic moment on the atom in μB.
Fractional positions:
1 Cr 0.250 0.250 0.250  3.42
2 Ag 0.750 0.750 0.750  0.06
3 Cu 0.503 0.503 0.488  0.08
4 Cu 0.997 0.997 0.012  0.08

Output
Polymorph energy (0 for the lowest one)   0.26 eV/f.u.
D(E_F)   2.5 states/eV/cell